Entry 1:
This record from OQMD describes a geometry-optimized Hf2CoC structure. The functional is PBE.

Structure (extended XYZ):
```
8
Lattice="-1.161 2.998 -0.051 -0.198 -1.845 -2.626 -11.654 -4.445 4.000" Properties=species:S:1:pos:R:3 pbc="T T T"
C 0.000 0.000 0.000
C -5.827 -2.222 2.000
Co -3.753 0.272 0.091
Co -9.259 -3.564 1.232
Hf -1.709 -0.685 -1.359
Hf -5.155 -1.999 -0.176
Hf -7.857 -1.293 1.500
Hf -11.303 -2.607 2.682
```



Entry 2:
This record from OQMD describes a geometry-optimized Hf2CoC structure. The functional is PBE.

Structure (extended XYZ):
```
24
Lattice="-0.228 4.351 3.436 -4.194 0.480 3.602 8.441 -8.363 6.657" Properties=species:S:1:pos:R:3 pbc="T T T"
C -0.895 2.963 2.911
C -2.097 0.240 1.801
C -3.528 1.868 4.127
C 4.106 -2.006 5.046
C 2.612 -0.440 7.375
C 1.406 -3.093 6.319
Co -0.547 2.098 6.853
Co 1.604 1.989 5.112
Co 1.589 -0.234 3.461
Co 2.430 -3.298 10.233
Co 2.415 -5.521 8.582
Co 4.565 -5.630 6.841
Hf -2.977 2.651 6.153
Hf -0.035 -0.574 1.464
Hf -1.417 0.962 3.932
Hf 0.558 -0.953 6.461
Hf -0.838 0.567 8.930
Hf 2.115 -2.646 4.241
Hf 1.904 -0.886 9.454
Hf 4.857 -4.100 4.764
Hf 3.461 -2.579 7.233
Hf 5.435 -4.494 9.762
Hf 4.054 -2.958 12.231
Hf 6.996 -6.183 7.542
```



Entry 3:
This record from OQMD describes a geometry-optimized Hf4InCoC2 structure. The functional is PBE.

Structure (extended XYZ):
```
8
Lattice="3.270 0.000 0.000 -1.635 2.832 0.000 0.000 0.000 14.000" Properties=species:S:1:pos:R:3 pbc="T T T"
C 0.000 0.000 3.706
C 0.000 0.000 10.294
Co 0.000 1.888 7.000
Hf 0.000 1.888 2.513
Hf 1.635 0.944 5.095
Hf 1.635 0.944 8.904
Hf 0.000 1.888 11.486
In 1.635 0.944 0.000
```



| no. | E (eV per cell) |
| --- | --- |
| 1 | -75.97 |
| 2 | -228.59 |
| 3 | -72.64 |